Here is a geometry-optimized TbTlCdIn structure from Alexandria via LeMat-Bulk. Energies are from GGA-PBE.

The calculation puts the total magnetization at 0.00 μB/cell. The value obtained for the energy above the most stable polymorph in this dataset is 0 meV/atom. The formation energy is -0.3172 eV per atom.

Cell and atoms, written as CIF:
```
data_TbTlCdIn
_chemical_formula_sum 'Tb1 Tl1 Cd1 In1'
_space_group_name_H-M_alt 'P m m m'
_space_group_IT_number 47
_space_group_name_Hall '-P 2 2'
_cell_length_a 4.5802
_cell_length_b 4.6686
_cell_length_c 4.6959
_cell_angle_alpha 90.00
_cell_angle_beta 90.00
_cell_angle_gamma 90.00
loop_
_atom_site_label
_atom_site_fract_x
_atom_site_fract_y
_atom_site_fract_z
_atom_site_occupancy
Tb1 0.0000 0.0000 0.0000 1
Tl1 0.5000 0.5000 0.0000 1
Cd1 0.0000 0.5000 0.5000 1
In1 0.5000 0.0000 0.5000 1
```



Here is a geometry-optimized Tb2TmCd2In2 structure from Alexandria via LeMat-Bulk. Energies are from GGA-PBE.

The calculation puts the total magnetization at 0.00 μB/cell. The formation energy is -0.2330 eV per atom.

Cell and atoms, written as CIF:
```
data_Tb2TmCd2In2
_chemical_formula_sum 'Tb6 Tm3 Cd6 In6'
_space_group_name_H-M_alt 'R -3 m'
_space_group_IT_number 166
_space_group_name_Hall '-R 3 2"'
_cell_length_a 4.9310
_cell_length_b 4.9310
_cell_length_c 26.7444
_cell_angle_alpha 90.00
_cell_angle_beta 90.00
_cell_angle_gamma 120.00
loop_
_atom_site_label
_atom_site_fract_x
_atom_site_fract_y
_atom_site_fract_z
_atom_site_occupancy
Tb1 0.0000 0.0000 0.1275 1
Tm1 0.0000 0.0000 0.0000 1
Cd1 0.0000 0.0000 0.3934 1
In1 0.0000 0.0000 0.2603 1
```



Here is a geometry-optimized TbTmCdIn structure from Alexandria via LeMat-Bulk. Energies are from GGA-PBE.

The calculation puts the total magnetization at 0.00 μB/cell. The formation energy is -0.3958 eV per atom.

Cell and atoms, written as CIF:
```
data_TbTmCdIn
_chemical_formula_sum 'Tb4 Tm4 Cd4 In4'
_space_group_name_H-M_alt 'F -4 3 m'
_space_group_IT_number 216
_space_group_name_Hall 'F -4 2 3'
_cell_length_a 7.4656
_cell_length_b 7.4656
_cell_length_c 7.4656
_cell_angle_alpha 90.00
_cell_angle_beta 90.00
_cell_angle_gamma 90.00
loop_
_atom_site_label
_atom_site_fract_x
_atom_site_fract_y
_atom_site_fract_z
_atom_site_occupancy
Tb1 0.0000 0.0000 0.0000 1
Tm1 0.0000 0.0000 0.5000 1
Cd1 0.2500 0.2500 0.2500 1
In1 0.2500 0.2500 0.7500 1
```



Here is a geometry-optimized TbY2Cd2In2 structure from Alexandria via LeMat-Bulk. Energies are from GGA-PBE.

The calculation puts the total magnetization at 0.00 μB/cell. The formation energy is -0.2697 eV per atom.

Cell and atoms, written as CIF:
```
data_TbY2Cd2In2
_chemical_formula_sum 'Tb3 Y6 Cd6 In6'
_space_group_name_H-M_alt 'R -3 m'
_space_group_IT_number 166
_space_group_name_Hall '-R 3 2"'
_cell_length_a 4.9336
_cell_length_b 4.9336
_cell_length_c 27.0326
_cell_angle_alpha 90.00
_cell_angle_beta 90.00
_cell_angle_gamma 120.00
loop_
_atom_site_label
_atom_site_fract_x
_atom_site_fract_y
_atom_site_fract_z
_atom_site_occupancy
Tb1 0.0000 0.0000 0.0000 1
Y1 0.0000 0.0000 0.1279 1
Cd1 0.0000 0.0000 0.3947 1
In1 0.0000 0.0000 0.2588 1
```



Here is a geometry-optimized Tb2YCd2In2 structure from Alexandria via LeMat-Bulk. Energies are from GGA-PBE.

The calculation puts the total magnetization at 0.00 μB/cell. The formation energy is -0.2605 eV per atom.

Cell and atoms, written as CIF:
```
data_Tb2YCd2In2
_chemical_formula_sum 'Tb6 Y3 Cd6 In6'
_space_group_name_H-M_alt 'R -3 m'
_space_group_IT_number 166
_space_group_name_Hall '-R 3 2"'
_cell_length_a 4.9348
_cell_length_b 4.9348
_cell_length_c 26.9915
_cell_angle_alpha 90.00
_cell_angle_beta 90.00
_cell_angle_gamma 120.00
loop_
_atom_site_label
_atom_site_fract_x
_atom_site_fract_y
_atom_site_fract_z
_atom_site_occupancy
Tb1 0.0000 0.0000 0.1281 1
Y1 0.0000 0.0000 0.0000 1
Cd1 0.0000 0.0000 0.3958 1
In1 0.0000 0.0000 0.2594 1
```



Here is a geometry-optimized CdInTc2 structure from Alexandria via LeMat-Bulk. Energies are from GGA-PBE.

The calculation puts the total magnetization at 0.00 μB/cell. The value obtained for the energy above the most stable polymorph in this dataset is 310 meV/atom. The formation energy is 0.4082 eV per atom.

Cell and atoms, written as CIF:
```
data_CdInTc2
_chemical_formula_sum 'Cd2 In2 Tc4'
_space_group_name_H-M_alt 'I m m 2'
_space_group_IT_number 44
_space_group_name_Hall 'I 2 -2'
_cell_length_a 3.2077
_cell_length_b 4.7395
_cell_length_c 9.3606
_cell_angle_alpha 90.00
_cell_angle_beta 90.00
_cell_angle_gamma 90.00
loop_
_atom_site_label
_atom_site_fract_x
_atom_site_fract_y
_atom_site_fract_z
_atom_site_occupancy
Cd1 0.0000 0.0000 0.0000 1
In1 0.0000 0.5000 0.7740 1
Tc1 0.0000 0.0000 0.5303 1
Tc2 0.0000 0.5000 0.2379 1
```



Here is a geometry-optimized CdInTc2 structure from Alexandria via LeMat-Bulk. Energies are from GGA-PBE.

The calculation puts the total magnetization at 1.90 μB/cell. The value obtained for the energy above the most stable polymorph in this dataset is 405 meV/atom. The formation energy is 0.5028 eV per atom.

Cell and atoms, written as CIF:
```
data_CdInTc2
_chemical_formula_sum 'Cd3 In3 Tc6'
_space_group_name_H-M_alt 'R -3 m'
_space_group_IT_number 166
_space_group_name_Hall '-R 3 2"'
_cell_length_a 2.9356
_cell_length_b 2.9356
_cell_length_c 28.0245
_cell_angle_alpha 90.00
_cell_angle_beta 90.00
_cell_angle_gamma 120.00
loop_
_atom_site_label
_atom_site_fract_x
_atom_site_fract_y
_atom_site_fract_z
_atom_site_occupancy
Cd1 0.0000 0.0000 0.0000 1
In1 0.0000 0.0000 0.5000 1
Tc1 0.0000 0.0000 0.2487 1
```



Here is a geometry-optimized CdInTc2 structure from Alexandria via LeMat-Bulk. Energies are from GGA-PBE.

The calculation puts the total magnetization at 0.00 μB/cell. The value obtained for the energy above the most stable polymorph in this dataset is 331 meV/atom. The formation energy is 0.4291 eV per atom.

Cell and atoms, written as CIF:
```
data_CdInTc2
_chemical_formula_sum 'Cd2 In2 Tc4'
_space_group_name_H-M_alt 'I -4 m 2'
_space_group_IT_number 119
_space_group_name_Hall 'I -4 -2'
_cell_length_a 4.3177
_cell_length_b 4.3177
_cell_length_c 7.3800
_cell_angle_alpha 90.00
_cell_angle_beta 90.00
_cell_angle_gamma 90.00
loop_
_atom_site_label
_atom_site_fract_x
_atom_site_fract_y
_atom_site_fract_z
_atom_site_occupancy
Cd1 0.0000 0.0000 0.0000 1
In1 0.0000 0.5000 0.7500 1
Tc1 0.0000 0.0000 0.5000 1
Tc2 0.0000 0.5000 0.2500 1
```